The following is a PBE calculation of a geometry-optimized KMg2Cd structure, from Alexandria.

## Properties
ΔE_f in kJ per mole of atoms: 16.1
Volume in Å³ per cell: 122
Crystal system: trigonal
M_tot in μB per cell: 0.0

Geometry as POSCAR:
```
KMg2Cd
1.0
1.799 1.039 10.853
-1.799 1.039 10.853
0.000 -2.077 10.853
K Mg Cd
1 2 1
Direct
0.000 0.000 0.000
0.234 0.234 0.234
0.766 0.766 0.766
0.500 0.500 0.500
```